Record 1
10
Lattice="8.080 0.000 0.000 0.000 8.080 0.000 0.000 0.000 4.050" Properties=species:S:1:pos:R:3 comment="PBE CdBi2As2, relaxed" relative_energy_mev_per_atom=49.3 e_form_kj_per_mol_fu=81 dft_energy_ev_per_atom=-3.43 total_magnetization_mub_per_cell=0.00 pbc="T T T"
As 2.726 6.766 0.000
As 6.766 5.354 0.000
As 5.354 1.314 0.000
As 1.314 2.726 0.000
Bi 1.257 5.297 2.025
Bi 5.297 6.822 2.025
Bi 6.822 2.782 2.025
Bi 2.782 1.257 2.025
Cd 0.000 0.000 0.000
Cd 4.040 4.040 0.000

=====

Record 2
4
Lattice="3.876 0.000 0.000 1.938 3.357 0.000 1.938 1.119 9.987" Properties=species:S:1:pos:R:3 comment="PBE CdBi2As, relaxed" relative_energy_mev_per_atom=19.6 e_form_kj_per_mol_fu=84 dft_energy_ev_per_atom=-3.12 total_magnetization_mub_per_cell=0.00 pbc="T T T"
As 3.876 2.238 4.994
Bi 1.938 1.119 6.898
Bi 5.815 3.357 3.089
Cd 0.000 0.000 0.000

=====

Record 3
80
Lattice="14.461 0.000 0.000 -4.820 13.634 0.000 -4.820 -6.817 11.807" Properties=species:S:1:pos:R:3 comment="PBE Cd12Bi3As5, relaxed" e_form_kj_per_mol_fu=26 dft_energy_ev_per_atom=-2.28 total_magnetization_mub_per_cell=0.00 pbc="T T T"
Bi 8.436 4.261 1.476
Bi 8.436 9.373 1.476
Bi -1.205 5.965 7.380
Bi 1.205 -0.852 4.428
Bi 10.846 0.000 2.952
Bi 1.205 6.817 2.952
Bi 3.615 0.000 8.856
Bi -6.025 6.817 8.856
Bi 3.615 7.669 7.380
Bi 6.025 0.852 4.428
Bi -3.615 -2.556 10.331
Bi -3.615 2.556 10.331
As -1.205 3.409 2.952
As -2.410 6.817 0.000
As 0.000 0.000 0.000
As 3.615 2.556 1.476
As 4.820 -3.409 5.904
As 4.820 6.817 0.000
As -3.615 7.669 4.428
As 6.025 -4.261 10.331
As 6.025 5.965 4.428
As 1.205 -3.409 8.856
As 3.615 10.226 2.952
As 2.410 3.409 5.904
As 7.231 0.000 0.000
As -2.410 -3.409 5.904
As -1.205 0.852 7.380
As -1.205 11.078 1.476
As -4.820 3.409 5.904
As 8.436 -0.852 7.380
As 1.205 4.261 10.331
As 6.025 3.409 8.856
Cd 9.563 1.417 0.503
Cd 0.077 4.553 4.928
Cd 10.676 3.182 3.338
Cd 6.195 2.108 1.479
Cd 1.851 5.180 7.966
Cd 10.194 6.753 2.063
Cd -1.035 7.890 4.817
Cd -3.785 11.526 1.479
Cd 0.559 8.454 7.966
Cd 6.677 6.881 2.063
Cd 7.308 3.682 4.425
Cd 7.308 12.217 0.503
Cd -4.262 6.080 6.407
Cd 2.964 5.063 1.086
Cd -4.898 9.952 4.425
Cd 2.487 -2.264 6.880
Cd -0.559 0.900 2.565
Cd 2.964 8.635 0.976
Cd 6.195 10.452 3.338
Cd -0.554 4.999 0.976
Cd -2.969 7.717 9.242
Cd 3.445 5.744 4.817
Cd 6.672 7.554 6.407
Cd 5.374 -1.754 10.721
Cd 1.375 1.073 6.990
Cd -1.851 -0.737 5.401
Cd -0.554 8.571 1.086
Cd -1.375 -3.635 8.469
Cd 7.789 -0.900 2.565
Cd 5.374 1.818 10.831
Cd 1.856 -1.818 10.831
Cd 2.333 9.081 4.928
Cd 5.379 5.917 9.242
Cd 9.718 -3.135 7.383
Cd 9.082 0.737 5.401
Cd -2.487 -5.400 11.304
Cd 1.856 1.754 10.721
Cd 4.262 -1.637 3.841
Cd -1.856 -0.064 9.745
Cd -2.487 3.135 7.383
Cd 8.605 -4.709 10.328
Cd 5.856 -1.073 6.990
Cd -1.375 4.709 10.328
Cd -5.374 0.064 9.745
Cd 2.969 1.637 3.841
Cd -5.856 3.635 8.469
Cd 4.743 2.264 6.880
Cd -4.743 5.400 11.304

=====

Record 4
8
Lattice="-2.445 6.150 0.757 -2.210 -1.626 6.070 3.577 4.279 6.104" Properties=species:S:1:pos:R:3 comment="PBE CdBi2As, relaxed" relative_energy_mev_per_atom=0.0 e_form_kj_per_mol_fu=76 dft_energy_ev_per_atom=-3.13 total_magnetization_mub_per_cell=0.00 pbc="T T T"
As -2.328 2.262 3.414
As -0.481 2.458 7.794
Bi -0.880 4.633 2.748
Bi -0.824 0.900 5.424
Bi 0.909 4.885 7.215
Bi -1.363 7.189 10.475
Cd 0.000 0.000 0.000
Cd -0.598 6.346 5.137

=====

Record 5
5
Lattice="-3.967 -3.326 -1.020 0.415 -1.989 4.870 -3.454 3.581 1.757" Properties=species:S:1:pos:R:3 comment="PBE Cd3BiAs, relaxed" relative_energy_mev_per_atom=274.0 e_form_kj_per_mol_fu=142 dft_energy_ev_per_atom=-1.96 total_magnetization_mub_per_cell=0.43 pbc="T T T"
As 0.000 0.000 0.000
Bi -3.503 -0.867 2.803
Cd 0.207 -0.994 2.435
Cd -1.727 1.791 0.878
Cd -1.984 -1.663 -0.510

=====

Record 6
10
Lattice="8.272 0.000 0.000 0.000 8.272 0.000 0.000 0.000 4.170" Properties=species:S:1:pos:R:3 comment="PBE Cd2Bi2As, relaxed" relative_energy_mev_per_atom=13.3 e_form_kj_per_mol_fu=111 dft_energy_ev_per_atom=-2.62 total_magnetization_mub_per_cell=0.00 pbc="T T T"
As 0.000 0.000 0.000
As 4.136 4.136 0.000
Bi 2.573 6.708 0.000
Bi 6.708 5.699 0.000
Bi 5.699 1.563 0.000
Bi 1.563 2.573 0.000
Cd 1.024 5.160 2.085
Cd 5.160 7.248 2.085
Cd 7.248 3.112 2.085
Cd 3.112 1.024 2.085

=====

Record 7
6
Lattice="5.952 0.000 0.165 0.000 4.165 0.000 -0.232 -2.083 6.531" Properties=species:S:1:pos:R:3 comment="PBE CdBiAs, relaxed" relative_energy_mev_per_atom=0.0 e_form_kj_per_mol_fu=13 dft_energy_ev_per_atom=-3.10 total_magnetization_mub_per_cell=0.00 pbc="T T T"
Bi 4.406 0.000 2.194
Bi 1.313 2.083 4.502
Cd 4.242 0.000 6.216
Cd 1.478 2.083 0.480
As 4.323 2.083 4.330
As 1.396 0.000 2.366

=====

Record 8
80
Lattice="14.721 0.000 0.000 -4.907 13.879 0.000 -4.907 -6.939 12.020" Properties=species:S:1:pos:R:3 comment="PBE Cd12Bi5As3, relaxed" e_form_kj_per_mol_fu=228 dft_energy_ev_per_atom=-2.10 total_magnetization_mub_per_cell=0.00 pbc="T T T"
As 8.587 4.337 1.502
As 8.587 9.542 1.502
As -1.227 6.072 7.512
As 1.227 -0.867 4.507
As 11.041 0.000 3.005
As 1.227 6.939 3.005
As 3.680 0.000 9.015
As -6.134 6.939 9.015
As 3.680 7.807 7.512
As 6.134 0.867 4.507
As -3.680 -2.602 10.517
As -3.680 2.602 10.517
Bi -1.227 3.470 3.005
Bi -2.453 6.939 0.000
Bi 0.000 0.000 0.000
Bi 3.680 2.602 1.502
Bi 4.907 -3.470 6.010
Bi 4.907 6.939 0.000
Bi -3.680 7.807 4.507
Bi 6.134 -4.337 10.517
Bi 6.134 6.072 4.507
Bi 1.227 -3.470 9.015
Bi 3.680 10.409 3.005
Bi 2.453 3.470 6.010
Bi 7.360 0.000 0.000
Bi -2.453 -3.470 6.010
Bi -1.227 0.867 7.512
Bi -1.227 11.277 1.502
Bi -4.907 3.470 6.010
Bi 8.587 -0.867 7.512
Bi 1.227 4.337 10.517
Bi 6.134 3.470 9.015
Cd 9.941 1.357 0.820
Cd -0.127 4.858 5.244
Cd 10.644 3.318 3.101
Cd 6.530 2.443 1.585
Cd 2.034 5.622 8.098
Cd 10.098 6.617 2.089
Cd -0.830 7.815 4.686
Cd -4.077 11.436 1.585
Cd 0.419 8.257 8.098
Cd 7.076 7.262 2.089
Cd 7.234 3.438 4.424
Cd 7.234 12.522 0.820
Cd -4.488 6.355 6.830
Cd 2.738 5.292 1.323
Cd -4.780 10.441 4.424
Cd 2.327 -2.081 6.775
Cd -0.419 0.732 2.909
Cd 2.738 8.909 0.765
Cd 6.530 10.561 3.101
Cd -0.284 4.970 0.765
Cd -2.873 7.672 9.111
Cd 3.284 6.064 4.686
Cd 6.941 7.524 6.830
Cd 5.191 -1.648 10.696
Cd 1.623 0.875 7.333
Cd -2.034 -0.585 5.190
Cd -0.284 8.587 1.323
Cd -1.623 -3.621 8.918
Cd 7.780 -0.732 2.909
Cd 5.191 1.970 11.254
Cd 2.169 -1.970 11.254
Cd 2.580 9.021 5.244
Cd 5.326 6.207 9.111
Cd 9.687 -3.501 7.595
Cd 9.395 0.585 5.190
Cd -2.327 -5.582 11.200
Cd 2.169 1.648 10.696
Cd 4.488 -1.317 3.921
Cd -2.169 -0.322 9.931
Cd -2.327 3.501 7.595
Cd 8.984 -4.496 10.434
Cd 5.737 -0.875 7.333
Cd -1.623 4.496 10.434
Cd -5.191 0.322 9.931
Cd 2.873 1.317 3.921
Cd -5.737 3.621 8.918
Cd 5.034 2.081 6.775
Cd -5.034 5.582 11.200